MnAl2In after structural relaxation. Source: Alexandria, functional GGA-PBE.

Its theoretical density is 5.419 g/cm3. Its density of states at the Fermi level is 2.041 states/eV/cell. The calculation puts the formation energy at 106 meV/atom. The value obtained for the uncorrected energy is -19.0 eV per cell.

Cell lengths 4.0975, 4.0975, 4.0832 Å; angles 90.00, 90.00, 90.00 degrees
Space group P4/mmm (No. 123)
One atom of each set of equivalent atoms:
Mn: 0.0000 0.0000 0.0000 (multiplicity 1)
Al: 0.0000 0.5000 0.5000 (multiplicity 2)
In: 0.5000 0.5000 0.0000 (multiplicity 1)